Below is CsTlAg2Br5 after structural relaxation, with properties calculated at the GGA-PBE level.

Cell lengths 5.3380, 5.3380, 10.9293 Å; angles 90.00, 90.00, 90.00 degrees
Closest atoms and distances in Å follow each position.
Space group P4/mmm (No. 123)
Symmetry-distinct sites (fractional):
Cs (0.0000, 0.0000, 0.0000) x1  12 Br 3.77-4.20
Tl (0.0000, 0.0000, 0.5000) x1  8 Br 3.47
Ag (0.5000, 0.5000, 0.2596) x2  5 Br 2.70-2.84
Br (0.0000, 0.5000, 0.2973) x4  2 Ag 2.70
Br (0.5000, 0.5000, 0.0000) x1  2 Ag 2.84

Its spin magnetization is 0.00 μB/f.u. The calculation puts the uncorrected formation energy at -74.2 kJ/mol of atoms.